A | Compound: CsSr2Br
Source: Alexandria via LeMat-Bulk
Functional: GGA-PBE
Structure: optimized geometry

The structure in POSCAR format:
```
CsSr2Br
1.0
-1.080 7.924 -2.189
-4.257 1.350 6.986
5.122 6.890 6.710
Cs Sr Br
2 4 2
direct
0.000 0.000 0.000
0.750 0.250 0.500
0.377 0.125 0.250
0.373 0.625 0.250
0.375 0.623 0.750
0.875 0.627 0.750
0.500 0.500 0.000
0.250 0.750 0.500
```

B | Compound: CsSr2Br
Source: Alexandria via LeMat-Bulk
Functional: GGA-PBE
Structure: optimized geometry

The structure in POSCAR format:
```
CsSr2Br
1.0
4.704 -1.225 4.860
3.225 5.242 3.060
-1.366 1.514 6.564
Cs Sr Br
1 2 1
direct
0.500 0.500 0.500
0.250 0.250 0.250
0.750 0.750 0.750
0.000 0.000 0.000
```

So which one is most stable? That would be A, about 0.274 eV/atom below the next structure.

A | Compound: Cs3TbBr6
Source: Alexandria via LeMat-Bulk
Functional: GGA-PBE
Structure: optimized geometry

The structure in POSCAR format:
```
Cs3TbBr6
1.0
-0.433 5.196 -6.671
4.409 -6.018 -4.973
-10.513 -4.910 -3.380
Cs Tb Br
6 2 12
direct
0.526 0.931 0.755
0.500 0.500 0.000
0.474 0.069 0.245
0.026 0.569 0.255
0.000 0.000 0.500
0.974 0.431 0.745
0.500 0.500 0.500
0.000 0.000 0.000
0.730 0.173 0.952
0.662 0.238 0.567
0.614 0.454 0.282
0.386 0.546 0.718
0.338 0.762 0.433
0.270 0.827 0.048
0.230 0.327 0.452
0.162 0.262 0.067
0.114 0.046 0.782
0.886 0.954 0.218
0.838 0.738 0.933
0.770 0.673 0.548
```

B | Compound: Cs3TbBr6
Source: Alexandria via LeMat-Bulk
Functional: GGA-PBE
Structure: optimized geometry

The structure in POSCAR format:
```
Cs3TbBr6
1.0
-4.929 -3.309 -6.540
-2.662 -7.977 0.767
-8.156 -1.473 1.616
Cs Tb Br
3 1 6
direct
0.277 0.241 0.241
0.723 0.759 0.759
0.000 0.000 0.000
0.500 0.500 0.500
0.352 0.201 0.665
0.648 0.335 0.799
0.648 0.799 0.335
0.352 0.665 0.201
0.181 0.710 0.710
0.819 0.290 0.290
```

So which one is most stable? That would be A, about 0.007 eV/atom below the next structure.

A | Compound: CsTbBr4
Source: Alexandria via LeMat-Bulk
Functional: GGA-PBE
Structure: optimized geometry

The structure in POSCAR format:
```
CsTbBr4
1.0
7.461 0.055 -0.713
-0.324 7.343 -2.824
-0.015 -0.737 9.063
Cs Tb Br
2 2 8
direct
0.249 0.205 0.411
0.751 0.795 0.589
0.718 0.467 0.934
0.282 0.533 0.066
0.813 0.308 0.616
0.578 0.382 0.201
0.000 0.255 0.000
0.422 0.181 0.799
0.187 0.692 0.384
0.422 0.618 0.799
0.000 0.745 0.000
0.578 0.819 0.201
```

B | Compound: CsTbBr4
Source: Alexandria via LeMat-Bulk
Functional: GGA-PBE
Structure: optimized geometry

The structure in POSCAR format:
```
CsTbBr4
1.0
5.746 0.000 0.000
-2.873 10.231 0.267
0.000 -2.880 10.498
Cs Tb Br
2 2 8
direct
0.212 0.424 0.230
0.788 0.576 0.770
0.096 0.191 0.638
0.904 0.809 0.362
0.044 0.088 0.364
0.151 0.302 0.892
0.779 0.558 0.413
0.596 0.191 0.635
0.404 0.809 0.365
0.221 0.442 0.587
0.849 0.698 0.108
0.956 0.912 0.636
```

So which one is most stable? That would be B, about 0.028 eV/atom below the next structure.

A | Compound: Cs5Tb2Br12
Source: Alexandria via LeMat-Bulk
Functional: GGA-PBE
Structure: optimized geometry

The structure in POSCAR format:
```
Cs5Tb2Br12
1.0
-3.226 7.486 2.028
-7.275 -6.662 -4.378
0.702 -2.814 11.500
Cs Tb Br
5 2 12
direct
0.297 0.594 0.644
0.306 0.612 0.157
0.000 0.000 0.500
0.694 0.388 0.843
0.703 0.406 0.356
0.751 0.000 0.000
0.249 0.000 0.000
0.002 0.005 0.166
0.108 0.707 0.929
0.599 0.707 0.929
0.131 0.706 0.427
0.575 0.706 0.427
0.497 0.995 0.833
0.503 0.005 0.167
0.869 0.294 0.573
0.425 0.294 0.573
0.892 0.293 0.071
0.401 0.293 0.071
0.998 0.995 0.834
```

B | Compound: Cs5Tb2Br12
Source: Alexandria via LeMat-Bulk
Functional: GGA-PBE
Structure: optimized geometry

The structure in POSCAR format:
```
Cs5Tb2Br12
1.0
-0.981 -9.302 3.968
9.164 -3.338 3.925
-0.096 0.445 10.503
Cs Tb Br
5 2 12
direct
0.037 0.255 0.255
0.488 0.341 0.341
0.500 0.000 0.000
0.512 0.659 0.659
0.963 0.745 0.745
0.000 0.808 0.192
0.000 0.192 0.808
0.844 0.105 0.105
0.194 0.174 0.548
0.194 0.548 0.174
0.800 0.120 0.732
0.800 0.732 0.120
0.725 0.439 0.439
0.275 0.561 0.561
0.200 0.880 0.268
0.200 0.268 0.880
0.806 0.826 0.452
0.806 0.452 0.826
0.156 0.895 0.895
```

So which one is most stable? That would be A, about 0.032 eV/atom below the next structure.